Below is Li2Zr2SnGeIr2 after structural relaxation, with properties calculated at the GGA-PBE level.

The total magnetic moment is 0.01 μB per formula unit. As for the crystal system: tetragonal. Its total energy is -6.655 eV/atom.

The structure belongs to space group P-4m2 (No. 115); the cell edges are 4.5130, 4.5130 and 6.4068 Å and the angles 90.00°, 90.00° and 90.00°. Symmetry generates all atoms from Li at (0.0000, 0.5000, 0.2352), Zr at (0.0000, 0.0000, 0.0000), Zr at (0.5000, 0.5000, 0.5000), Sn at (0.0000, 0.0000, 0.5000), Ge at (0.5000, 0.5000, 0.0000) and Ir at (0.0000, 0.5000, 0.7585).